## Tb12SmY5 (GGA-PBE)

Data for an optimized crystal structure of Tb12SmY5.

The structure belongs to space group P2/m (No. 10); the cell edges are 10.695, 5.046 and 10.707 Å and the angles 90.00°, 90.10° and 90.00°. The distinct sites, in fractional coordinates, are Tb at (0.001, 0.000, 0.334), Tb at (0.166, 0.500, 0.499), Tb at (0.167, 0.500, 0.167), Tb at (0.332, 0.000, 0.332), Tb at (0.334, 0.000, 0.001), Tb at (0.499, 0.500, 0.166), Sm at (0.500, 0.500, 0.500), Y at (0.000, 0.000, 0.000), Y at (0.167, 0.500, 0.833) and Y at (0.333, 0.000, 0.667).

The value obtained for the total magnetic moment is 0.00 μB per formula unit. Its density is 7.19 g cm⁻³. The formation energy comes out at 0.018 eV per atom.